No. 1
{"formula": "DyTmZrAl", "functional": "PBE", "state": "optimized geometry", "lattice": [[-4.803, -1.277, 1.316], [-1.534, -4.897, -0.310], [-0.858, -2.701, 4.289]], "species": ["Al", "Dy", "Zr", "Tm"], "fractional_positions": [[0.250, 0.250, 0.250], [0.000, 0.000, 0.000], [0.500, 0.500, 0.500], [0.750, 0.750, 0.750]], "magmom_total_mub_per_cell": 0.0, "sg": "F-43m (216)", "dos_ef_per_ev_atom": 1.83, "formation_energy_ev_per_atom": -0.0241}

No. 2
{"formula": "KHg8PbAu2", "functional": "PBE", "state": "optimized geometry", "lattice": [[-3.874, 1.488, -4.008], [-5.427, 0.083, 1.954], [-7.310, 12.061, 0.937]], "species": ["Hg", "Hg", "Hg", "Hg", "Hg", "Hg", "Hg", "Hg", "Pb", "Au", "Au", "K"], "fractional_positions": [[0.327, 0.327, 0.018], [0.673, 0.673, 0.982], [0.663, 0.663, 0.499], [0.223, 0.720, 0.248], [0.720, 0.223, 0.248], [0.337, 0.337, 0.501], [0.280, 0.777, 0.752], [0.777, 0.280, 0.752], [0.000, 0.000, 0.000], [0.292, 0.292, 0.738], [0.708, 0.708, 0.262], [0.000, 0.000, 0.500]], "magmom_total_mub_per_cell": 0.0, "sg": "C2/m (12)", "dos_ef_per_ev_atom": 0.37, "formation_energy_ev_per_atom": -0.0356}

No. 3
{"formula": "Tb2SBr", "functional": "PBE", "state": "optimized geometry", "lattice": [[3.831, 0.000, 0.000], [1.916, 3.318, 0.000], [1.916, 1.106, 7.577]], "species": ["Br", "Tb", "Tb", "S"], "fractional_positions": [[0.500, 0.500, 0.500], [0.267, 0.267, 0.199], [0.733, 0.733, 0.801], [0.000, 0.000, 0.000]], "de_polymorph_ev_per_atom": 0.0000, "raw_formation_energy_ev_per_atom": -1.500, "magmom_total_mub_per_cell": 0.0, "sg": "R-3m (166)", "dos_ef_per_ev_atom": 0.28}

No. 4
{"formula": "CrSiNi2", "functional": "PBE", "state": "optimized geometry", "lattice": [[2.679, 0.000, 0.000], [0.000, 2.679, 0.000], [0.000, 0.000, 6.247]], "species": ["Cr", "Si", "Ni", "Ni"], "fractional_positions": [[0.500, 0.500, 0.748], [0.000, 0.000, 0.487], [0.000, 0.000, 0.992], [0.500, 0.500, 0.273]], "raw_formation_energy_ev_per_atom": -0.199, "magmom_total_mub_per_cell": 0.0, "sg": "P4mm (99)", "dos_ef_per_ev_atom": 0.35}

No. 5
{"formula": "Zr2CrP", "functional": "PBE", "state": "optimized geometry", "lattice": [[-1.673, -2.435, -4.613], [2.476, -4.545, -1.796], [-2.147, 1.973, 4.638]], "species": ["Cr", "P", "Zr", "Zr"], "fractional_positions": [[0.500, 0.500, 0.000], [0.750, 0.250, 0.500], [0.000, 0.000, 0.000], [0.250, 0.750, 0.500]], "magmom_total_mub_per_cell": 2.4, "sg": "I-4m2 (119)", "dos_ef_per_ev_atom": 0.88, "formation_energy_ev_per_atom": -0.2838}

No. 6
{"formula": "BiP2BrO", "functional": "PBE", "state": "optimized geometry", "lattice": [[-3.294, 4.231, 0.861], [-3.921, -3.385, 1.631], [1.412, 0.288, 3.990]], "species": ["Bi", "Br", "O", "P", "P"], "fractional_positions": [[0.000, 0.000, 0.000], [0.500, 0.500, 0.500], [0.000, 0.000, 0.500], [0.000, 0.500, 0.000], [0.500, 0.000, 0.000]], "de_polymorph_ev_per_atom": 0.0000, "raw_formation_energy_ev_per_atom": 0.788, "magmom_total_mub_per_cell": 2.0, "sg": "P4/mmm (123)", "dos_ef_per_ev_atom": 0.83}

No. 7
{"formula": "NpScPa", "functional": "PBE", "state": "optimized geometry", "lattice": [[7.283, 0.000, 0.000], [0.000, 7.283, 0.000], [0.000, 0.000, 5.912]], "species": ["Np", "Np", "Np", "Np", "Sc", "Sc", "Sc", "Sc", "Pa", "Pa", "Pa", "Pa"], "fractional_positions": [[0.514, 0.514, 0.500], [0.014, 0.986, 0.250], [0.986, 0.014, 0.750], [0.486, 0.486, 0.000], [0.732, 0.268, 0.250], [0.268, 0.732, 0.750], [0.232, 0.232, 0.500], [0.768, 0.768, 0.000], [0.763, 0.763, 0.500], [0.263, 0.737, 0.250], [0.737, 0.263, 0.750], [0.237, 0.237, 0.000]], "magmom_total_mub_per_cell": 13.3, "sg": "P4_12_12 (92)", "dos_ef_per_ev_atom": 1.80, "formation_energy_ev_per_atom": 0.7283}

No. 8
{"formula": "La2AgBr", "functional": "PBE", "state": "optimized geometry", "lattice": [[-0.821, -10.520, -0.624], [1.604, -10.157, 2.450], [-2.284, -9.884, 2.969]], "species": ["Br", "La", "La", "Ag"], "fractional_positions": [[0.742, 0.742, 0.742], [0.008, 0.008, 0.008], [0.244, 0.244, 0.244], [0.506, 0.506, 0.506]], "de_polymorph_ev_per_atom": 0.2852, "raw_formation_energy_ev_per_atom": -0.474, "magmom_total_mub_per_cell": 0.0, "sg": "R3m (160)", "dos_ef_per_ev_atom": 0.09}